[1]
InSiTc2 | GGA-PBE | optimized geometry

Raw formation energy ... -8 kJ per mole of atoms
Space group ... P4/mmm (123)
DFT total energy ... -29.24 eV for the cell shown
Calculated density ... 9.07 g/cm³
V ... 62 Å³ per cell
DOS at the Fermi energy ... 0.79 states/eV per atom
Polymorph energy (0 for the lowest one) ... 0.0 kJ per mole of atoms

a = 3.0317 Å, b = 3.0317 Å, c = 6.7475 Å
α = 90.00°, β = 90.00°, γ = 90.00°
Fractional positions:
In1 0.0000 0.0000 0.0000
Si1 0.0000 0.0000 0.5000
Tc1 0.5000 0.5000 0.3011
Tc2 0.5000 0.5000 0.6989

---

[2]
KInMo2 | GGA-PBE | optimized geometry

Space group ... F-43m (216)
DFT formation energy ... 1.213 eV/atom
DFT total energy ... -20.65 eV for the cell shown
Calculated density ... 7.08 g/cm³
V ... 81 Å³ per cell
DOS at the Fermi energy ... 1.21 states/eV per atom

a = 4.8588 Å, b = 4.8588 Å, c = 4.8588 Å
α = 60.00°, β = 60.00°, γ = 60.00°
Fractional positions:
K1 0.0000 0.0000 0.0000
In1 0.7500 0.7500 0.7500
Mo1 0.2500 0.2500 0.2500
Mo2 0.5000 0.5000 0.5000

---

[3]
CdInGe2O6 | GGA-PBE | optimized geometry

Raw formation energy ... -136 kJ per mole of atoms
Space group ... C2/c (15)
DFT total energy ... -113.50 eV for the cell shown
Calculated density ... 5.67 g/cm³
V ... 274 Å³ per cell
DOS at the Fermi energy ... 0.15 states/eV per atom

a = 7.0883 Å, b = 7.0883 Å, c = 5.5758 Å
α = 98.19°, β = 98.19°, γ = 87.78°
Fractional positions:
Cd1 0.0933 0.9067 0.7500
Cd2 0.9067 0.0933 0.2500
In1 0.2829 0.7171 0.2500
In2 0.7171 0.2829 0.7500
Ge1 0.2121 0.3892 0.7157
Ge2 0.3892 0.2121 0.2157
Ge3 0.6108 0.7879 0.7843
Ge4 0.7879 0.6108 0.2843
O1 0.0191 0.2231 0.6535
O2 0.1559 0.6106 0.8820
O3 0.2231 0.0191 0.1535
O4 0.2882 0.4173 0.4106
O5 0.3894 0.8441 0.6180
O6 0.4173 0.2882 0.9106
O7 0.5827 0.7119 0.0894
O8 0.6106 0.1559 0.3820
O9 0.7119 0.5827 0.5894
O10 0.7769 0.9809 0.8465
O11 0.8441 0.3894 0.1180
O12 0.9809 0.7769 0.3465

---

[4]
NaPuN2 | GGA-PBE | optimized geometry

Raw formation energy ... -71 kJ per mole of atoms
Space group ... R3m (160)
DFT total energy ... -35.24 eV for the cell shown
Calculated density ... 8.01 g/cm³
V ... 61 Å³ per cell
DOS at the Fermi energy ... 1.51 states/eV per atom
Polymorph energy (0 for the lowest one) ... 6.5 kJ per mole of atoms

a = 6.2147 Å, b = 6.2147 Å, c = 6.2147 Å
α = 32.37°, β = 32.37°, γ = 32.37°
Fractional positions:
Na1 0.0000 0.0000 0.0000
Pu1 0.8239 0.8239 0.8239
N1 0.2139 0.2139 0.2139
N2 0.4315 0.4315 0.4315

---

[5]
SrAgP2 | GGA-PBE | optimized geometry

Space group ... P2/m (10)
DFT formation energy ... -0.478 eV/atom
DFT total energy ... -17.27 eV for the cell shown
Calculated density ... 4.42 g/cm³
V ... 97 Å³ per cell
DOS at the Fermi energy ... 0.37 states/eV per atom

a = 4.4117 Å, b = 4.0427 Å, c = 5.4257 Å
α = 90.00°, β = 90.08°, γ = 90.00°
Fractional positions:
Sr1 0.0000 0.0000 0.0000
Ag1 0.5000 0.0000 0.5000
P1 0.4992 0.5000 0.7975
P2 0.5008 0.5000 0.2025

---

[6]
CsHfSb2 | GGA-PBE | optimized geometry

Raw formation energy ... -34 kJ per mole of atoms
Space group ... R-3m (166)
DFT total energy ... -20.45 eV for the cell shown
Calculated density ... 6.43 g/cm³
V ... 143 Å³ per cell
DOS at the Fermi energy ... 0.70 states/eV per atom
Polymorph energy (0 for the lowest one) ... 0.0 kJ per mole of atoms

a = 9.1440 Å, b = 9.1440 Å, c = 9.1440 Å
α = 27.45°, β = 27.45°, γ = 27.45°
Fractional positions:
Cs1 0.0000 0.0000 0.0000
Hf1 0.5000 0.5000 0.5000
Sb1 0.2242 0.2242 0.2242
Sb2 0.7758 0.7758 0.7758

---

[7]
KTl2Sn6 | GGA-PBE | optimized geometry

Space group ... P6/mmm (191)
DFT formation energy ... -0.026 eV/atom
DFT total energy ... -30.08 eV for the cell shown
Calculated density ... 7.34 g/cm³
V ... 263 Å³ per cell
DOS at the Fermi energy ... 0.48 states/eV per atom
Polymorph energy (0 for the lowest one) ... 0.0 kJ per mole of atoms

a = 9.5355 Å, b = 9.5355 Å, c = 3.3348 Å
α = 90.00°, β = 90.00°, γ = 120.00°
Fractional positions:
K1 0.0000 0.0000 0.0000
Tl1 0.3333 0.6667 0.0000
Tl2 0.6667 0.3333 0.0000
Sn1 0.0000 0.3407 0.5000
Sn2 0.0000 0.6593 0.5000
Sn3 0.3407 0.0000 0.5000
Sn4 0.3407 0.3407 0.5000
Sn5 0.6593 0.0000 0.5000
Sn6 0.6593 0.6593 0.5000

---

[8]
CsPuSe3 | GGA-PBE | optimized geometry

Raw formation energy ... -111 kJ per mole of atoms
Space group ... Pm-3m (221)
DFT total energy ... -31.39 eV for the cell shown
Calculated density ... 6.09 g/cm³
V ... 167 Å³ per cell
DOS at the Fermi energy ... 0.66 states/eV per atom

a = 5.5112 Å, b = 5.5112 Å, c = 5.5112 Å
α = 90.00°, β = 90.00°, γ = 90.00°
Fractional positions:
Cs1 0.0000 0.0000 0.0000
Pu1 0.5000 0.5000 0.5000
Se1 0.0000 0.5000 0.5000
Se2 0.5000 0.0000 0.5000
Se3 0.5000 0.5000 0.0000

---

[9]
Mg2GeWN4 | GGA-PBE | optimized geometry

Raw formation energy ... -47 kJ per mole of atoms
Space group ... Pmn2_1 (31)
DFT total energy ... -115.94 eV for the cell shown
Calculated density ... 5.40 g/cm³
V ... 222 Å³ per cell
DOS at the Fermi energy ... 0.00 states/eV per atom

a = 7.4992 Å, b = 5.7127 Å, c = 5.1863 Å
α = 90.00°, β = 90.00°, γ = 90.00°
Fractional positions:
Mg1 0.2493 0.1796 0.0000
Mg2 0.2507 0.8204 0.5000
Mg3 0.7493 0.8204 0.5000
Mg4 0.7507 0.1796 0.0000
Ge1 0.0000 0.6943 0.9985
Ge2 0.5000 0.3057 0.4985
W1 0.0000 0.3293 0.5116
W2 0.5000 0.6707 0.0116
N1 0.0000 0.3489 0.8826
N2 0.0000 0.6472 0.3913
N3 0.2032 0.1709 0.4038
N4 0.2968 0.8291 0.9038
N5 0.5000 0.3528 0.8913
N6 0.5000 0.6511 0.3826
N7 0.7032 0.8291 0.9038
N8 0.7968 0.1709 0.4038

---

[10]
FeSb2Cl | GGA-PBE | optimized geometry

Raw formation energy ... 1 kJ per mole of atoms
Space group ... P2/m (10)
DFT total energy ... -18.53 eV for the cell shown
Calculated density ... 6.67 g/cm³
V ... 83 Å³ per cell
DOS at the Fermi energy ... 0.98 states/eV per atom
Polymorph energy (0 for the lowest one) ... 8.5 kJ per mole of atoms

a = 3.2767 Å, b = 3.2700 Å, c = 7.7838 Å
α = 90.00°, β = 91.75°, γ = 90.00°
Fractional positions:
Fe1 0.0000 0.0000 0.0000
Sb1 0.4822 0.5000 0.7989
Sb2 0.5178 0.5000 0.2011
Cl1 0.0000 0.0000 0.5000

---

[11]
KPuBi2 | GGA-PBE | optimized geometry

Space group ... R3m (160)
DFT formation energy ... -0.146 eV/atom
DFT total energy ... -23.77 eV for the cell shown
Calculated density ... 7.28 g/cm³
V ... 160 Å³ per cell
DOS at the Fermi energy ... 4.34 states/eV per atom
Polymorph energy (0 for the lowest one) ... 22.0 kJ per mole of atoms

a = 8.7158 Å, b = 8.7158 Å, c = 8.7158 Å
α = 31.43°, β = 31.43°, γ = 31.43°
Fractional positions:
K1 0.0000 0.0000 0.0000
Pu1 0.8294 0.8294 0.8294
Bi1 0.2281 0.2281 0.2281
Bi2 0.4321 0.4321 0.4321

---

[12]
Cu2BiS2I | GGA-PBE | optimized geometry

Raw formation energy ... -18 kJ per mole of atoms
Space group ... P2_1/m (11)
DFT total energy ... -45.95 eV for the cell shown
Calculated density ... 5.93 g/cm³
V ... 295 Å³ per cell

a = 7.2616 Å, b = 4.8949 Å, c = 8.6637 Å
α = 90.00°, β = 106.70°, γ = 90.00°
Fractional positions:
Cu1 0.1493 0.0001 0.2084
Cu2 0.1493 0.4999 0.2084
Cu3 0.8507 0.9999 0.7916
Cu4 0.8507 0.5001 0.7916
Bi1 0.2943 0.2500 0.5637
Bi2 0.7057 0.7500 0.4363
S1 0.1064 0.7500 0.4215
S2 0.4329 0.2500 0.3130
S3 0.5671 0.7500 0.6870
S4 0.8936 0.2500 0.5785
I1 0.1947 0.7500 0.9359
I2 0.8053 0.2500 0.0641

---

[13]
Sr2LiTcO6 | GGA-PBE | optimized geometry

Raw formation energy ... -208 kJ per mole of atoms
Space group ... P2_1/c (14)
DFT total energy ... -133.88 eV for the cell shown
Calculated density ... 4.93 g/cm³
V ... 253 Å³ per cell

a = 5.6419 Å, b = 5.6620 Å, c = 9.7302 Å
α = 90.00°, β = 125.36°, γ = 90.00°
Fractional positions:
Sr1 0.2466 0.0308 0.2510
Sr2 0.2466 0.4692 0.7510
Sr3 0.7534 0.5308 0.2490
Sr4 0.7534 0.9692 0.7490
Li1 0.5000 0.0000 0.0000
Li2 0.5000 0.5000 0.5000
Tc1 0.0000 0.0000 0.5000
Tc2 0.0000 0.5000 0.0000
O1 0.1722 0.2339 0.9693
O2 0.1722 0.2661 0.4693
O3 0.2354 0.7051 0.9708
O4 0.2354 0.7949 0.4708
O5 0.2934 0.0101 0.7362
O6 0.2934 0.4899 0.2362
O7 0.7066 0.5101 0.7638
O8 0.7066 0.9899 0.2638
O9 0.7646 0.2051 0.5292
O10 0.7646 0.2949 0.0292
O11 0.8278 0.7339 0.5307
O12 0.8278 0.7661 0.0307

---

[14]
Na4NpIn3Se8 | GGA-PBE | optimized geometry

Raw formation energy ... -85 kJ per mole of atoms
Space group ... R-3m (166)
DFT total energy ... -68.44 eV for the cell shown
Calculated density ... 5.30 g/cm³
V ... 409 Å³ per cell
DOS at the Fermi energy ... 0.43 states/eV per atom

a = 8.4839 Å, b = 8.4839 Å, c = 8.4839 Å
α = 57.70°, β = 57.70°, γ = 57.70°
Fractional positions:
Na1 0.0000 0.0000 0.0000
Na2 0.0000 0.5000 0.5000
Na3 0.5000 0.0000 0.5000
Na4 0.5000 0.5000 0.0000
Np1 0.5000 0.5000 0.5000
In1 0.0000 0.0000 0.5000
In2 0.0000 0.5000 0.0000
In3 0.5000 0.0000 0.0000
Se1 0.2393 0.2393 0.2393
Se2 0.2395 0.7447 0.7447
Se3 0.2553 0.2553 0.7605
Se4 0.2553 0.7605 0.2553
Se5 0.7447 0.2395 0.7447
Se6 0.7447 0.7447 0.2395
Se7 0.7605 0.2553 0.2553
Se8 0.7607 0.7607 0.7607

---

[15]
Ba6Ir2Br3F | GGA-PBE | optimized geometry

Raw formation energy ... -130 kJ per mole of atoms
Space group ... C2/m (12)
DFT total energy ... -52.26 eV for the cell shown
Calculated density ... 5.76 g/cm³
V ... 423 Å³ per cell
DOS at the Fermi energy ... 0.52 states/eV per atom

a = 7.7211 Å, b = 7.7211 Å, c = 8.5877 Å
α = 98.66°, β = 98.66°, γ = 119.95°
Fractional positions:
Ba1 0.0981 0.4314 0.7939
Ba2 0.2348 0.2348 0.2071
Ba3 0.4314 0.0981 0.7939
Ba4 0.5686 0.9019 0.2061
Ba5 0.7652 0.7652 0.7929
Ba6 0.9019 0.5686 0.2061
Ir1 0.1665 0.8335 0.0000
Ir2 0.8335 0.1665 0.0000
Br1 0.0000 0.0000 0.5000
Br2 0.3311 0.6689 0.5000
Br3 0.6689 0.3311 0.5000
F1 0.5000 0.5000 0.0000

---

[16]
La2TmS4 | GGA-PBE | optimized geometry

Raw formation energy ... -197 kJ per mole of atoms
Space group ... Cmcm (63)
DFT total energy ... -90.31 eV for the cell shown
Calculated density ... 5.31 g/cm³
V ... 360 Å³ per cell
DOS at the Fermi energy ... 0.27 states/eV per atom

a = 7.1388 Å, b = 7.1388 Å, c = 13.5261 Å
α = 90.00°, β = 90.00°, γ = 148.55°
Fractional positions:
La1 0.1293 0.8707 0.5744
La2 0.1293 0.8707 0.9256
La3 0.8707 0.1293 0.0744
La4 0.8707 0.1293 0.4256
Tm1 0.3715 0.6285 0.7500
Tm2 0.6285 0.3715 0.2500
S1 0.0117 0.9883 0.7500
S2 0.2177 0.7823 0.1277
S3 0.2177 0.7823 0.3723
S4 0.5000 0.5000 0.0000
S5 0.5000 0.5000 0.5000
S6 0.7823 0.2177 0.6277
S7 0.7823 0.2177 0.8723
S8 0.9883 0.0117 0.2500